[1]
This record from the Alexandria database describes a relaxed PmTmAlTl crystal. The functional is GGA-PBE.

Results
Spin magnetization in μB per formula unit: 0.0
Crystal system: tetragonal
Symmetry: P4mm (99)
Energy of formation in eV per atom: -0.355
Density of states at the Fermi level in states/eV per cell: 2.1

a b c (Å): 3.6694 3.6694 7.7053
angles (deg): 90.00 90.00 90.00
Fractional positions:
Al 0.0000 0.0000 0.8694
Tl 0.0000 0.0000 0.3426
Pm 0.5000 0.5000 0.6227
Tm 0.5000 0.5000 0.0932



[2]
This record from the Alexandria database describes a relaxed CdReTeN2 crystal. The functional is GGA-PBE.

Results
Spin magnetization in μB per formula unit: 0.2
ΔE_f (raw) in eV per atom: 0.458
Crystal system: tetragonal
Symmetry: P4/mmm (123)
Density of states at the Fermi level in states/eV per cell: 3.3

a b c (Å): 3.9403 3.9403 5.8250
angles (deg): 90.00 90.00 90.00
Fractional positions:
Cd 0.5000 0.5000 0.5000
N 0.5000 0.0000 0.0000
Te 0.0000 0.0000 0.5000
N 0.0000 0.5000 0.0000
Re 0.0000 0.0000 0.0000



[3]
This record from the Alexandria database describes a relaxed BaLaNi3 crystal. The functional is GGA-PBE.

Results
Spin magnetization in μB per formula unit: 0.0
Crystal system: cubic
Symmetry: Pm-3m (221)
Energy of formation in eV per atom: 1.049
Density of states at the Fermi level in states/eV per cell: 9.1

a b c (Å): 5.0301 5.0301 5.0301
angles (deg): 90.00 90.00 90.00
Fractional positions:
Ni 0.5000 0.0000 0.0000
La 0.5000 0.5000 0.5000
Ni 0.0000 0.0000 0.5000
Ni 0.0000 0.5000 0.0000
Ba 0.0000 0.0000 0.0000



[4]
This record from the Alexandria database describes a relaxed Ca3HgF8 crystal. The functional is GGA-PBE.

Results
Spin magnetization in μB per formula unit: 0.0
ΔE_f (raw) in eV per atom: -3.313
Crystal system: cubic
Symmetry: Pm-3m (221)
Density of states at the Fermi level in states/eV per cell: 0.0

a b c (Å): 5.5512 5.5512 5.5512
angles (deg): 90.00 90.00 90.00
Fractional positions:
F 0.7460 0.2540 0.7460
F 0.2540 0.7460 0.2540
F 0.2540 0.2540 0.7460
Ca 0.0000 0.5000 0.5000
Ca 0.5000 0.5000 0.0000
F 0.2540 0.7460 0.7460
Hg 0.0000 0.0000 0.0000
F 0.7460 0.7460 0.7460
Ca 0.5000 0.0000 0.5000
F 0.2540 0.2540 0.2540
F 0.7460 0.2540 0.2540
F 0.7460 0.7460 0.2540



[5]
This record from the Alexandria database describes a relaxed MgAsCl2 crystal. The functional is GGA-PBE.

Results
Spin magnetization in μB per formula unit: 3.0
ΔE_f (raw) in eV per atom: -0.563
Crystal system: tetragonal
Symmetry: I-42d (122)
Density of states at the Fermi level in states/eV per cell: 0.0

a b c (Å): 7.5041 7.5041 7.3448
angles (deg): 59.28 59.28 90.00
Fractional positions:
Cl 0.8750 0.7196 0.7500
Cl 0.4696 0.1250 0.2500
Cl 0.2804 0.6250 0.2500
As 0.7500 0.2500 0.5000
Mg 0.2500 0.7500 0.5000
As 0.0000 0.0000 0.0000
Cl 0.3750 0.5304 0.7500
Mg 0.5000 0.5000 0.0000



[6]
This record from the Alexandria database describes a relaxed NaSr2ZnF8 crystal. The functional is GGA-PBE.

Results
Spin magnetization in μB per formula unit: 1.1
ΔE_f (raw) in eV per atom: -2.947
Crystal system: monoclinic
Symmetry: P2/m (10)
Density of states at the Fermi level in states/eV per cell: 8.5

a b c (Å): 4.2407 5.4366 7.9788
angles (deg): 90.04 89.98 98.26
Fractional positions:
F 0.4067 0.2185 0.9999
F 0.4768 0.2501 0.4999
F 0.9417 0.2349 0.7913
Na 0.0000 0.0000 0.5000
Sr 0.5000 0.5001 0.2446
F 0.0583 0.7651 0.2087
Zn 0.0000 0.0000 0.0000
F 0.9415 0.2347 0.2084
F 0.5933 0.7815 0.0001
F 0.5232 0.7499 0.5001
Sr 0.5000 0.4999 0.7554
F 0.0585 0.7653 0.7916



[7]
This record from the Alexandria database describes a relaxed MnSbSeN2 crystal. The functional is GGA-PBE.

Results
Spin magnetization in μB per formula unit: 0.8
ΔE_f (raw) in eV per atom: 0.755
Crystal system: tetragonal
Symmetry: P4/mmm (123)
Density of states at the Fermi level in states/eV per cell: 3.5

a b c (Å): 3.8411 3.8411 5.0418
angles (deg): 90.00 90.00 90.00
Fractional positions:
Sb 0.5000 0.5000 0.5000
N 0.5000 0.0000 0.0000
N 0.0000 0.5000 0.0000
Mn 0.0000 0.0000 0.0000
Se 0.0000 0.0000 0.5000



[8]
This record from the Alexandria database describes a relaxed K2PuIO2 crystal. The functional is GGA-PBE.

Results
Spin magnetization in μB per formula unit: 5.0
ΔE_f (raw) in eV per atom: -1.918
Crystal system: tetragonal
Symmetry: P4/mmm (123)
Density of states at the Fermi level in states/eV per cell: 6.6

a b c (Å): 4.5131 4.5131 7.3107
angles (deg): 90.00 90.00 90.00
Fractional positions:
O 0.0000 0.5000 0.0000
I 0.0000 0.0000 0.5000
K 0.5000 0.5000 0.2376
Pu 0.0000 0.0000 0.0000
K 0.5000 0.5000 0.7624
O 0.5000 0.0000 0.0000



Repeat the fourth record exactly.
This record from the Alexandria database describes a relaxed Ca3HgF8 crystal. The functional is GGA-PBE.

Results
Spin magnetization in μB per formula unit: 0.0
ΔE_f (raw) in eV per atom: -3.313
Crystal system: cubic
Symmetry: Pm-3m (221)
Density of states at the Fermi level in states/eV per cell: 0.0

a b c (Å): 5.5512 5.5512 5.5512
angles (deg): 90.00 90.00 90.00
Fractional positions:
F 0.7460 0.2540 0.7460
F 0.2540 0.7460 0.2540
F 0.2540 0.2540 0.7460
Ca 0.0000 0.5000 0.5000
Ca 0.5000 0.5000 0.0000
F 0.2540 0.7460 0.7460
Hg 0.0000 0.0000 0.0000
F 0.7460 0.7460 0.7460
Ca 0.5000 0.0000 0.5000
F 0.2540 0.2540 0.2540
F 0.7460 0.2540 0.2540
F 0.7460 0.7460 0.2540



Which value of density of states at the Fermi level does entry 6 give?
8.5 states/eV per cell